# 1
The following is a PBE calculation of a geometry-optimized OsPbS2N structure, from the Alexandria database.

Summary:
Energy above the most stable polymorph in this dataset (eV/f.u.): 0.00
Volume (Å³/atom): 18.75
Spin magnetization (μB/f.u.): 0.00
Energy (eV per cell): -30.742
Uncorrected formation energy (eV per formula unit): 0.8
N(E_F) (states/eV/cell): 5.1

Unit cell a=5.014 b=5.014 c=3.729 alpha=90.00 beta=90.00 gamma=90.00
Space group P4/mmm (No. 123)
One atom of each set of equivalent atoms:
1 Os 0.000 0.000 0.000 (multiplicity 1)
2 Pb 0.500 0.500 0.500 (multiplicity 1)
3 S 0.000 0.500 0.000 (multiplicity 2)
4 N 0.000 0.000 0.500 (multiplicity 1)



# 2
The following is a PBE calculation of a geometry-optimized OsPbSe2N structure, from the Alexandria database.

Summary:
Energy above the most stable polymorph in this dataset (eV/f.u.): 0.00
Volume (Å³/atom): 21.84
Spin magnetization (μB/f.u.): 0.00
Energy (eV per cell): -29.347
Uncorrected formation energy (eV per formula unit): 0.9
N(E_F) (states/eV/cell): 3.7

Unit cell a=5.406 b=5.406 c=3.736 alpha=90.00 beta=90.00 gamma=90.00
Space group P4/mmm (No. 123)
One atom of each set of equivalent atoms:
1 Os 0.000 0.000 0.000 (multiplicity 1)
2 Pb 0.500 0.500 0.500 (multiplicity 1)
3 Se 0.000 0.500 0.000 (multiplicity 2)
4 N 0.000 0.000 0.500 (multiplicity 1)



# 3
The following is a PBE calculation of a geometry-optimized OsPbSe2N structure, from the Alexandria database.

Summary:
Energy above the most stable polymorph in this dataset (eV/f.u.): 9.67
Volume (Å³/atom): 24.72
Spin magnetization (μB/f.u.): 4.97
Energy (eV per cell): -19.678
Uncorrected formation energy (eV per formula unit): 10.6
N(E_F) (states/eV/cell): 7.8

Unit cell a=5.447 b=5.447 c=4.165 alpha=90.00 beta=90.00 gamma=90.00
Space group P4/mmm (No. 123)
One atom of each set of equivalent atoms:
1 Os 0.000 0.000 0.000 (multiplicity 1)
2 Pb 0.500 0.500 0.500 (multiplicity 1)
3 Se 0.000 0.500 0.500 (multiplicity 2)
4 N 0.500 0.500 0.000 (multiplicity 1)



# 4
The following is a PBE calculation of a geometry-optimized SnOs2PbN structure, from the Alexandria database.

Summary:
Volume (Å³/atom): 30.68
Spin magnetization (μB/f.u.): 5.45
Energy (eV per cell): -21.726
Uncorrected formation energy (eV per formula unit): 16.8
N(E_F) (states/eV/cell): 5.5

Unit cell a=5.081 b=5.081 c=5.943 alpha=90.00 beta=90.00 gamma=90.00
Space group P4/mmm (No. 123)
One atom of each set of equivalent atoms:
1 Sn 0.000 0.000 0.000 (multiplicity 1)
2 Os 0.000 0.500 0.500 (multiplicity 2)
3 Pb 0.000 0.000 0.500 (multiplicity 1)
4 N 0.500 0.500 0.000 (multiplicity 1)